Record 1
Li12Ca16Zn: optimized geometry, PBE-GGA.

The structure in POSCAR format:
```
Li12Ca16Zn
1.0
-8.980 -4.899 1.497
3.709 -3.184 -9.110
7.458 -2.246 8.558
Ca Li Zn
16 12 1
Cartesian
3.266 -3.635 3.319 Ca
-0.196 -7.504 -4.494 Ca
0.676 -3.998 0.162 Ca
-1.935 -6.243 -8.131 Ca
-2.809 -5.504 0.814 Ca
0.107 -0.117 0.109 Ca
-0.111 -4.971 3.717 Ca
5.220 -1.879 5.940 Ca
3.252 -6.660 5.794 Ca
-2.391 -7.656 3.921 Ca
-3.162 -7.905 -2.015 Ca
5.418 -6.600 -2.606 Ca
2.122 -4.837 -3.309 Ca
-6.616 -6.876 -4.219 Ca
4.420 -4.359 -0.071 Ca
6.155 -6.267 3.368 Ca
-0.297 -6.547 6.751 Li
-0.072 -2.229 -2.799 Li
-3.330 -6.805 -5.084 Li
-6.111 -6.514 -0.446 Li
-0.199 -7.594 0.966 Li
7.654 -5.472 0.105 Li
-2.362 -2.539 -0.884 Li
1.598 -5.472 -6.891 Li
4.441 -4.794 -5.985 Li
2.631 -6.803 2.047 Li
-5.804 -6.180 2.580 Li
2.169 -7.274 -1.014 Li
-1.119 -5.281 -2.193 Zn
```

## Properties
The density of states at the Fermi level is 21.34 states/eV/f.u. As for the total energy: -55.540 eV per cell. The formation energy is 0.025 eV/atom.


Record 2
Cd2Hg4Pb3: optimized geometry, PBE-GGA.

The structure in POSCAR format:
```
Cd2Hg4Pb3
1.0
4.952 0.000 0.000
-2.476 5.546 0.132
0.000 -1.999 8.954
Pb Hg Cd
3 4 2
Cartesian
0.000 3.681 2.508 Pb
0.000 0.000 0.000 Pb
2.476 -0.133 6.579 Pb
0.000 -0.089 3.209 Hg
2.476 1.974 0.796 Hg
0.000 1.574 8.290 Hg
2.476 3.637 5.878 Hg
2.476 1.527 3.661 Cd
0.000 2.020 5.425 Cd
```

## Properties
The density of states at the Fermi level is 3.07 states/eV/f.u. As for the total energy: -13.808 eV per cell. The formation energy is 0.039 eV/atom.